12
Lattice="9.902 -0.026 -2.731 -0.988 8.266 -3.661 -2.136 -2.143 7.032" Properties=species:S:1:pos:R:3 comment="AcNdSm4 (PBE-GGA, relaxed)" energy_ev_per_fu=-26.5 e_form_ev_per_atom=0.211 vol_a3_per_atom=36.96 n_ef_per_ev_cell=18.5 space_group="C2/m, No. 12" e_above_lowest_polymorph_mev_per_atom=0 pbc="T T T"
Ac 6.330 4.179 -3.568
Ac 0.449 1.918 4.209
Sm 2.892 -1.350 3.516
Sm -2.439 0.396 5.908
Sm 7.811 0.619 -0.710
Sm 2.250 4.024 1.136
Sm -0.684 5.727 -2.536
Sm 4.529 2.072 -0.495
Sm 3.887 7.446 -2.875
Sm -1.031 5.478 1.351
Nd 5.120 5.435 -0.406
Nd 1.659 0.662 1.047